Computed, not measured: a crystal of CaYAu relaxed with PBEsol at the meta-GGA SCAN level of DFT.

abc: 3.586 3.586 6.861
angles: 105.15 105.15 90.00
Sites, in units of the cell vectors:
Y 0.629 0.629 0.258
Ca 0.360 0.360 0.720
Au 0.011 0.011 0.022

Properties
- energy of formation from the pure elements (eV per formula unit) = -2.2
- E above lowest polymorph (meV/atom) = 0